# Ac4NiCCl2 | the Alexandria database | PBE | relaxed
data_Ac4NiCCl2
_cell_length_a 7.487
_cell_length_b 4.053
_cell_length_c 8.002
_cell_angle_alpha 90.00
_cell_angle_beta 107.78
_cell_angle_gamma 90.00
_space_group_name_H-M_alt 'P 1 2/m 1'
_space_group_IT_number 10
loop_
_space_group_symop_operation_xyz
'x,y,z'
'-x,-y,-z'
'-x,y,-z'
'x,-y,z'
loop_
_atom_site_label
_atom_site_type_symbol
_atom_site_fract_x
_atom_site_fract_y
_atom_site_fract_z
Ac1 Ac 0.213 0.000 0.203
Ac2 Ac 0.259 0.500 0.802
Ni1 Ni 0.500 0.000 0.000
C1 C 0.000 0.500 0.000
Cl1 Cl 0.000 0.000 0.500
Cl2 Cl 0.500 0.500 0.500
# DFT total energy in eV for the cell shown: -41.70
# Energy relative to the elements, uncorrected in kJ/mol of formula units: -634

---

# Zr4Rh3 | the Alexandria database | PBE | relaxed
data_Zr4Rh3
_cell_length_a 12.4838
_cell_length_b 12.4838
_cell_length_c 5.7389
_cell_angle_alpha 90.00
_cell_angle_beta 90.00
_cell_angle_gamma 120.00
_space_group_name_H-M_alt 'R -3'
_space_group_IT_number 148
_space_group_name_Hall '-R 3'
loop_
_atom_site_label
_atom_site_type_symbol
_atom_site_fract_x
_atom_site_fract_y
_atom_site_fract_z
Zr1 Zr 0.0000 0.0000 0.0000
Zr2 Zr 0.0000 0.0000 0.5000
Zr3 Zr 0.0496 0.2433 0.1679
Rh1 Rh 0.0467 0.2380 0.6731
# DFT total energy in eV for the cell shown: -364.19
# Energy of formation from the pure elements in meV per atom: -636
# Energy relative to the lowest polymorph listed for this composition in eV/f.u.: 0.00

---

# Na4AsO | the Alexandria database | PBE | relaxed
data_Na4AsO
_cell_length_a 7.104
_cell_length_b 6.229
_cell_length_c 5.734
_cell_angle_alpha 90.00
_cell_angle_beta 91.58
_cell_angle_gamma 90.00
_space_group_name_H-M_alt 'P 1 21/c 1'
_space_group_IT_number 14
loop_
_space_group_symop_operation_xyz
'x,y,z'
'-x,-y,-z'
'-x,y+1/2,-z+1/2'
'x,-y+1/2,z+1/2'
loop_
_atom_site_label
_atom_site_type_symbol
_atom_site_fract_x
_atom_site_fract_y
_atom_site_fract_z
Na1 Na 0.107 0.184 0.321
Na2 Na 0.301 0.600 0.461
As1 As 0.500 0.000 0.500
O1 O 0.000 0.000 0.000
# DFT total energy in eV for the cell shown: -38.04
# Energy relative to the elements, uncorrected in kJ/mol of formula units: -399

---

Which value of DFT total energy does entry 1 give?
-41.70 eV for the cell shown